The following is a PBEsol calculation of a relaxed GeTe2Br crystal, from Alexandria.

Unit cell a=3.1676 b=3.1676 c=35.1119 alpha=90.00 beta=90.00 gamma=120.00
Closest atoms and distances in Å follow each position.
Space group R-3m (No. 166, hexagonal axes)
Inequivalent atoms, fractional coordinates:
Ge (0.0000, 0.0000, 0.0000) x3  2 Te 2.82
Te (0.0000, 0.0000, 0.0804) x6  1 Ge 2.82
Br (0.0000, 0.0000, 0.5000) x3  6 Br 3.17, 6 Te 3.54

Summary:
Spin magnetization = 0.00 μB per cell
Energy above the most stable polymorph in this dataset = 129 meV per atom
DOS(E_F) = 8.3 states/eV per cell


The following is a PBEsol calculation of a relaxed TiTlGe2Br crystal, from Alexandria.

Unit cell a=5.2171 b=5.2171 c=5.4912 alpha=90.00 beta=90.00 gamma=90.00
Closest atoms and distances in Å follow each position.
Space group P4/mmm (No. 123)
Inequivalent atoms, fractional coordinates:
Ti (0.0000, 0.0000, 0.0000) x1  2 Tl 2.75
Tl (0.0000, 0.0000, 0.5000) x1  4 Ge 2.61, 2 Ti 2.75
Ge (0.0000, 0.5000, 0.5000) x2  2 Tl 2.61
Br (0.5000, 0.5000, 0.0000) x1  4 Ti 3.69, 8 Ge 3.79

Summary:
Spin magnetization = 2.18 μB per cell
DFT total energy = -3.517 eV/atom
DOS(E_F) = 6.6 states/eV per cell